Record 1
The following is a PBE-GGA calculation of LaTiSb2 after structural relaxation, from Alexandria via LeMat-Bulk.

Unit cell a=8.025 b=8.025 c=6.961 alpha=90.00 beta=90.00 gamma=90.00
Fractional coordinates of all 16 atoms:
La  0.000  0.000  0.000
La  0.000  0.500  0.250
La  0.500  0.000  0.750
La  0.500  0.500  0.500
Ti  0.000  0.000  0.500
Ti  0.000  0.500  0.750
Ti  0.500  0.000  0.250
Ti  0.500  0.500  0.000
Sb  0.207  0.250  0.625
Sb  0.250  0.707  0.875
Sb  0.250  0.793  0.375
Sb  0.293  0.250  0.125
Sb  0.707  0.750  0.125
Sb  0.750  0.207  0.375
Sb  0.750  0.293  0.875
Sb  0.793  0.750  0.625

Calculated values
- calculated total energy (eV per cell) = -92.4
- N(E_F) (states/eV per cell) = 15.36

Record 2
The following is a PBE-GGA calculation of Ba2SnBi3 after structural relaxation, from Alexandria via LeMat-Bulk.

Unit cell a=7.947 b=5.278 c=21.890 alpha=90.00 beta=90.00 gamma=90.00
Fractional coordinates of all 24 atoms:
Ba  0.165  0.250  0.213
Ba  0.192  0.250  0.425
Ba  0.308  0.750  0.925
Ba  0.335  0.750  0.713
Ba  0.665  0.250  0.287
Ba  0.692  0.250  0.075
Ba  0.808  0.750  0.575
Ba  0.835  0.750  0.787
Sn  0.033  0.750  0.066
Sn  0.467  0.250  0.566
Sn  0.533  0.750  0.434
Sn  0.967  0.250  0.934
Bi  0.049  0.250  0.650
Bi  0.150  0.250  0.811
Bi  0.226  0.250  0.050
Bi  0.274  0.750  0.550
Bi  0.350  0.750  0.311
Bi  0.451  0.750  0.150
Bi  0.549  0.250  0.850
Bi  0.650  0.250  0.689
Bi  0.726  0.250  0.450
Bi  0.774  0.750  0.950
Bi  0.850  0.750  0.189
Bi  0.951  0.750  0.350

Calculated values
- energy of formation (meV/atom) = -602
- N(E_F) (states/eV per cell) = 10.07

Record 3
The following is a PBE-GGA calculation of CuP2PtS after structural relaxation, from Alexandria via LeMat-Bulk.

Unit cell a=4.555 b=4.555 c=5.153 alpha=90.00 beta=90.00 gamma=90.00
Fractional coordinates of all 5 atoms:
Cu  0.000  0.000  0.000
P  0.000  0.500  0.500
P  0.500  0.000  0.500
Pt  0.500  0.500  0.500
S  0.500  0.500  0.000

Calculated values
- calculated total energy (eV per cell) = -20.4
- N(E_F) (states/eV per cell) = 2.92

Record 4
The following is a PBE-GGA calculation of AcCdGaPd2 after structural relaxation, from Alexandria via LeMat-Bulk.

Unit cell a=7.122 b=7.122 c=6.274 alpha=90.00 beta=90.00 gamma=133.79
Fractional coordinates of all 10 atoms:
Ac  0.250  0.750  0.764
Ac  0.750  0.250  0.236
Cd  0.000  0.000  0.000
Cd  0.500  0.500  0.000
Ga  0.250  0.250  0.500
Ga  0.750  0.750  0.500
Pd  0.143  0.857  0.315
Pd  0.357  0.643  0.315
Pd  0.643  0.357  0.685
Pd  0.857  0.143  0.685

Calculated values
- energy of formation (meV/atom) = -535
- N(E_F) (states/eV per cell) = 6.35

Record 5
The following is a PBE-GGA calculation of BaTb2Tm after structural relaxation, from Alexandria via LeMat-Bulk.

Unit cell a=3.598 b=3.598 c=38.445 alpha=90.00 beta=90.00 gamma=120.00
Fractional coordinates of all 12 atoms:
Ba  0.000  0.000  0.000
Ba  0.333  0.667  0.667
Ba  0.667  0.333  0.333
Tb  0.000  0.000  0.094
Tb  0.000  0.000  0.906
Tb  0.333  0.667  0.572
Tb  0.333  0.667  0.761
Tb  0.667  0.333  0.239
Tb  0.667  0.333  0.428
Tm  0.000  0.000  0.500
Tm  0.333  0.667  0.167
Tm  0.667  0.333  0.833

Calculated values
- energy of formation (meV/atom) = 223
- N(E_F) (states/eV per cell) = 14.91

Record 6
The following is a PBE-GGA calculation of Tb2Sm3Hg3 after structural relaxation, from Alexandria via LeMat-Bulk.

Unit cell a=3.771 b=5.416 c=22.324 alpha=90.00 beta=90.00 gamma=90.00
Fractional coordinates of all 16 atoms:
Tb  0.000  0.000  0.233
Tb  0.000  0.000  0.767
Tb  0.500  0.500  0.267
Tb  0.500  0.500  0.733
Sm  0.000  0.000  0.000
Sm  0.000  0.500  0.122
Sm  0.000  0.500  0.878
Sm  0.500  0.000  0.378
Sm  0.500  0.000  0.622
Sm  0.500  0.500  0.500
Hg  0.000  0.000  0.500
Hg  0.000  0.500  0.380
Hg  0.000  0.500  0.620
Hg  0.500  0.000  0.120
Hg  0.500  0.000  0.880
Hg  0.500  0.500  0.000

Calculated values
- energy of formation (meV/atom) = -356
- N(E_F) (states/eV per cell) = 20.41

Record 7
The following is a PBE-GGA calculation of Cs2ZnTe2O6 after structural relaxation, from Alexandria via LeMat-Bulk.

Unit cell a=7.710 b=7.710 c=8.415 alpha=121.18 beta=121.18 gamma=42.93
Fractional coordinates of all 11 atoms:
Cs  0.216  0.216  0.254
Cs  0.784  0.784  0.746
Zn  0.000  0.000  0.500
Te  0.466  0.466  0.197
Te  0.534  0.534  0.803
O  0.166  0.683  0.289
O  0.317  0.834  0.711
O  0.377  0.377  0.663
O  0.623  0.623  0.337
O  0.683  0.166  0.289
O  0.834  0.317  0.711

Calculated values
- calculated total energy (eV per cell) = -53.0
- N(E_F) (states/eV per cell) = 0.00

Record 8
The following is a PBE-GGA calculation of Hg4GeTe6 after structural relaxation, from Alexandria via LeMat-Bulk.

Unit cell a=8.132 b=8.132 c=13.973 alpha=106.53 beta=106.53 gamma=60.69
Fractional coordinates of all 22 atoms:
Hg  0.057  0.943  0.500
Hg  0.237  0.413  0.016
Hg  0.408  0.838  0.840
Hg  0.413  0.237  0.516
Hg  0.705  0.916  0.195
Hg  0.838  0.408  0.340
Hg  0.916  0.705  0.695
Hg  0.943  0.057  0.000
Ge  0.299  0.823  0.259
Ge  0.823  0.299  0.759
Te  0.058  0.575  0.505
Te  0.115  0.619  0.212
Te  0.130  0.154  0.204
Te  0.154  0.130  0.704
Te  0.172  0.702  0.887
Te  0.418  0.858  0.453
Te  0.575  0.058  0.005
Te  0.599  0.611  0.172
Te  0.611  0.599  0.672
Te  0.619  0.115  0.712
Te  0.702  0.172  0.387
Te  0.858  0.418  0.953

Calculated values
- calculated total energy (eV per cell) = -51.3
- N(E_F) (states/eV per cell) = 4.47